An optimized crystal structure of Ca3TaFe. Source: Alexandria via LeMat-Bulk, functional PBEsol. Values from VASP.

```
&SYSTEM
  ibrav = 0, nat = 5, ntyp = 3
/
ATOMIC_SPECIES
Ca 40.08 Ca.upf
Fe 55.84 Fe.upf
Ta 180.95 Ta.upf
CELL_PARAMETERS angstrom
-2.9779 -4.5617 0.3318
4.5478 -2.9953 -0.3642
0.4865 0.0778 5.4354
ATOMIC_POSITIONS crystal
Ca 0.0000 0.5000 0.0000
Ca 0.0000 0.0000 0.5000
Ca 0.5000 0.0000 0.0000
Fe 0.5000 0.5000 0.5000
Ta 0.0000 0.0000 0.0000
```

Calculated values
symmetry = Pm-3m (221)
energy relative to the elements = 8.315 eV/f.u.